# 1
{
  "formula": "Be2Ag2Pd",
  "functional": "PBE",
  "state": "optimized geometry",
  "spacegroup": "P4/mbm",
  "e_form_ev_per_atom": 0.00,
  "total_energy_ev_per_atom": -3.673,
  "lattice_angstrom": [[6.218, 0.000, 0.000], [0.000, 6.218, 0.000], [0.000, 0.000, 3.463]],
  "species": ["Be", "Be", "Be", "Be", "Ag", "Ag", "Ag", "Ag", "Pd", "Pd"],
  "fractional_positions": [[0.133, 0.367, 0.000], [0.367, 0.867, 0.000], [0.633, 0.133, 0.000], [0.867, 0.633, 0.000], [0.164, 0.664, 0.500], [0.336, 0.164, 0.500], [0.664, 0.836, 0.500], [0.836, 0.336, 0.500], [0.000, 0.000, 0.000], [0.500, 0.500, 0.000]]
}

---

# 2
{
  "formula": "Be2AgPd",
  "functional": "PBE",
  "state": "optimized geometry",
  "spacegroup": "P4/mmm",
  "e_form_ev_per_atom": -0.20,
  "total_energy_ev_per_atom": -4.078,
  "lattice_angstrom": [[2.860, 0.000, 0.000], [0.000, 2.860, 0.000], [0.000, 0.000, 5.984]],
  "species": ["Be", "Be", "Ag", "Pd"],
  "fractional_positions": [[0.000, 0.000, 0.220], [0.000, 0.000, 0.780], [0.500, 0.500, 0.500], [0.500, 0.500, 0.000]]
}

---

# 3
{
  "formula": "BeAgPd3",
  "functional": "PBE",
  "state": "optimized geometry",
  "spacegroup": "P1",
  "e_form_ev_per_atom": -0.16,
  "total_energy_ev_per_atom": -4.589,
  "lattice_angstrom": [[5.658, 0.000, 0.000], [2.758, 4.996, 0.000], [2.415, 1.453, 5.347]],
  "species": ["Be", "Be", "Ag", "Ag", "Pd", "Pd", "Pd", "Pd", "Pd", "Pd"],
  "fractional_positions": [[0.000, 0.000, 0.000], [0.217, 0.222, 0.513], [0.500, 0.516, 0.304], [0.755, 0.772, 0.804], [0.010, 0.027, 0.343], [0.025, 0.558, 0.211], [0.252, 0.268, 0.841], [0.301, 0.775, 0.715], [0.548, 0.037, 0.209], [0.767, 0.312, 0.718]]
}

---

# 4
{
  "formula": "BeAgPd3",
  "functional": "PBE",
  "state": "optimized geometry",
  "spacegroup": "Pm-3m",
  "e_form_ev_per_atom": -0.05,
  "total_energy_ev_per_atom": -4.485,
  "lattice_angstrom": [[4.255, 0.000, 0.000], [0.000, 4.255, 0.000], [0.000, 0.000, 4.255]],
  "species": ["Be", "Ag", "Pd", "Pd", "Pd"],
  "fractional_positions": [[0.000, 0.000, 0.000], [0.500, 0.500, 0.500], [0.000, 0.000, 0.500], [0.000, 0.500, 0.000], [0.500, 0.000, 0.000]]
}

---

# 5
{
  "formula": "Be2AgPd",
  "functional": "PBE",
  "state": "optimized geometry",
  "spacegroup": "I-42d",
  "e_form_ev_per_atom": 0.12,
  "total_energy_ev_per_atom": -3.753,
  "lattice_angstrom": [[-3.127, 3.127, 2.705], [3.127, -3.127, 2.705], [3.127, 3.127, -2.705]],
  "species": ["Be", "Be", "Be", "Be", "Ag", "Ag", "Pd", "Pd"],
  "fractional_positions": [[0.110, 0.625, 0.985], [0.375, 0.360, 0.485], [0.640, 0.125, 0.015], [0.875, 0.890, 0.515], [0.250, 0.750, 0.500], [0.500, 0.500, 0.000], [0.000, 0.000, 0.000], [0.750, 0.250, 0.500]]
}

---

# 6
{
  "formula": "BeAgPd3",
  "functional": "PBE",
  "state": "optimized geometry",
  "spacegroup": "Pm-3m",
  "e_form_ev_per_atom": 1.41,
  "total_energy_ev_per_atom": -3.018,
  "lattice_angstrom": [[4.884, 0.000, 0.000], [0.000, 4.884, 0.000], [0.000, 0.000, 4.884]],
  "species": ["Be", "Ag", "Pd", "Pd", "Pd"],
  "fractional_positions": [[0.000, 0.000, 0.000], [0.500, 0.500, 0.500], [0.000, 0.500, 0.500], [0.500, 0.000, 0.500], [0.500, 0.500, 0.000]]
}

---

# 7
{
  "formula": "Pm3Be2AgPd9",
  "functional": "PBE",
  "state": "optimized geometry",
  "spacegroup": "P-3m1",
  "e_form_ev_per_atom": -0.56,
  "total_energy_ev_per_atom": -5.317,
  "lattice_angstrom": [[5.938, 0.000, 0.000], [-2.969, 5.142, 0.000], [0.000, 0.000, 9.531]],
  "species": ["Pm", "Pm", "Pm", "Be", "Be", "Ag", "Pd", "Pd", "Pd", "Pd", "Pd", "Pd", "Pd", "Pd", "Pd"],
  "fractional_positions": [[0.000, 0.000, 0.000], [0.333, 0.667, 0.698], [0.667, 0.333, 0.302], [0.333, 0.667, 0.146], [0.667, 0.333, 0.854], [0.000, 0.000, 0.500], [0.000, 0.500, 0.000], [0.159, 0.319, 0.272], [0.159, 0.841, 0.272], [0.319, 0.159, 0.728], [0.500, 0.000, 0.000], [0.500, 0.500, 0.000], [0.681, 0.841, 0.272], [0.841, 0.159, 0.728], [0.841, 0.681, 0.728]]
}

---

# 8
{
  "formula": "BeAgPdPt",
  "functional": "PBE",
  "state": "optimized geometry",
  "spacegroup": "P4mm",
  "e_form_ev_per_atom": -0.39,
  "total_energy_ev_per_atom": -4.848,
  "lattice_angstrom": [[2.816, 0.000, 0.000], [0.000, 2.816, 0.000], [0.000, 0.000, 7.085]],
  "species": ["Be", "Ag", "Pd", "Pt"],
  "fractional_positions": [[0.000, 0.000, 0.000], [0.000, 0.000, 0.502], [0.500, 0.500, 0.204], [0.500, 0.500, 0.807]]
}

---

Repeat the eighth record exactly.
{
  "formula": "BeAgPdPt",
  "functional": "PBE",
  "state": "optimized geometry",
  "spacegroup": "P4mm",
  "e_form_ev_per_atom": -0.39,
  "total_energy_ev_per_atom": -4.848,
  "lattice_angstrom": [[2.816, 0.000, 0.000], [0.000, 2.816, 0.000], [0.000, 0.000, 7.085]],
  "species": ["Be", "Ag", "Pd", "Pt"],
  "fractional_positions": [[0.000, 0.000, 0.000], [0.000, 0.000, 0.502], [0.500, 0.500, 0.204], [0.500, 0.500, 0.807]]
}

---

Please write out number 7 again, unchanged.
{
  "formula": "Pm3Be2AgPd9",
  "functional": "PBE",
  "state": "optimized geometry",
  "spacegroup": "P-3m1",
  "e_form_ev_per_atom": -0.56,
  "total_energy_ev_per_atom": -5.317,
  "lattice_angstrom": [[5.938, 0.000, 0.000], [-2.969, 5.142, 0.000], [0.000, 0.000, 9.531]],
  "species": ["Pm", "Pm", "Pm", "Be", "Be", "Ag", "Pd", "Pd", "Pd", "Pd", "Pd", "Pd", "Pd", "Pd", "Pd"],
  "fractional_positions": [[0.000, 0.000, 0.000], [0.333, 0.667, 0.698], [0.667, 0.333, 0.302], [0.333, 0.667, 0.146], [0.667, 0.333, 0.854], [0.000, 0.000, 0.500], [0.000, 0.500, 0.000], [0.159, 0.319, 0.272], [0.159, 0.841, 0.272], [0.319, 0.159, 0.728], [0.500, 0.000, 0.000], [0.500, 0.500, 0.000], [0.681, 0.841, 0.272], [0.841, 0.159, 0.728], [0.841, 0.681, 0.728]]
}

---

- Number 2 is which compound?
  Be2AgPd